VASP calculation (PBE+U) on crystalline Co3P2O8 at its relaxed geometry.

a = 5.0921 Å, b = 8.4482 Å, c = 8.9026 Å
α = 90.00°, β = 120.32°, γ = 90.00°
Closest atoms and distances in Å follow each position.
Atoms (fractional coordinates):
Co 0.0000 0.0000 0.0000  6 O 2.07-2.20
Co 0.0000 0.5000 0.5000  6 O 2.07-2.20
Co 0.0201 0.1408 0.6131  4 O 2.00-2.04
Co 0.0201 0.3592 0.1131  4 O 2.00-2.04
Co 0.9799 0.6408 0.8869  4 O 2.00-2.04
Co 0.9799 0.8592 0.3869  4 O 2.00-2.04
P 0.3371 0.6935 0.3002  4 O 1.54-1.57
P 0.3371 0.8065 0.8002  4 O 1.54-1.57
P 0.6629 0.1935 0.1998  4 O 1.54-1.57
P 0.6629 0.3065 0.6998  4 O 1.54-1.57
O 0.1868 0.5787 0.1415  1 P 1.56
O 0.1868 0.9213 0.6415  1 P 1.56
O 0.1888 0.6385 0.7422  1 P 1.57
O 0.1888 0.8615 0.2422  1 P 1.57
O 0.2697 0.6420 0.4438  1 P 1.54
O 0.2697 0.8580 0.9438  1 P 1.54
O 0.3152 0.1948 0.1287  1 P 1.55
O 0.3152 0.3052 0.6287  1 P 1.55
O 0.6848 0.6948 0.3713  1 P 1.55
O 0.6848 0.8052 0.8713  1 P 1.55
O 0.7303 0.1420 0.0562  1 P 1.54
O 0.7303 0.3580 0.5562  1 P 1.54
O 0.8112 0.1385 0.7578  1 P 1.57
O 0.8112 0.3615 0.2578  1 P 1.57
O 0.8132 0.0787 0.3585  1 P 1.56
O 0.8132 0.4213 0.8585  1 P 1.56

Its space group is No. 14. The density of states at the Fermi level is 0.00 states/eV/cell. For the excess energy over the best structure of this formula in the dataset, the calculation gives 0.0 kJ/mol of formula units. As for the theoretical density: 3.68 g cm⁻³. The calculation puts the total energy at -177.922 eV for the cell shown. Its total moment is 9.02 μB/f.u.